# 1
# CaPRu4 | Alexandria via LeMat-Bulk | GGA-PBE | relaxed
# DFT total energy ... -6.95 eV/atom
# Mass density ... 7.89 g cm⁻³
# Fermi-level density of states ... 8.25 states/eV/f.u.
# Energy relative to the elements ... 0.470 eV per atom
data_CaPRu4
_chemical_formula_sum 'Ca1 P1 Ru4'
_cell_length_a 5.2111
_cell_length_b 5.2111
_cell_length_c 5.2111
_cell_angle_alpha 60.00
_cell_angle_beta 60.00
_cell_angle_gamma 60.00
_symmetry_space_group_name_H-M 'P 1'
_symmetry_Int_Tables_number 1
_symmetry_space_group_name_Hall 'P 1'
loop_
_atom_site_label
_atom_site_type_symbol
_atom_site_fract_x
_atom_site_fract_y
_atom_site_fract_z
Ca1 Ca 0.0000 0.0000 0.0000
P1 P 0.7500 0.7500 0.7500
Ru1 Ru 0.3761 0.3761 0.3761
Ru2 Ru 0.3761 0.3761 0.8717
Ru3 Ru 0.3761 0.8717 0.3761
Ru4 Ru 0.8717 0.3761 0.3761



# 2
# Na4In3Hg2 | Alexandria via LeMat-Bulk | GGA-PBE | relaxed
# DFT total energy ... -1.75 eV/atom
# Mass density ... 5.98 g cm⁻³
# Fermi-level density of states ... 3.21 states/eV/f.u.
# Energy relative to the elements ... -0.179 eV per atom
data_Na4In3Hg2
_chemical_formula_sum 'Na4 In3 Hg2'
_cell_length_a 5.2066
_cell_length_b 5.2066
_cell_length_c 9.9015
_cell_angle_alpha 90.10
_cell_angle_beta 90.10
_cell_angle_gamma 60.07
_symmetry_space_group_name_H-M 'P 1'
_symmetry_Int_Tables_number 1
_symmetry_space_group_name_Hall 'P 1'
loop_
_atom_site_label
_atom_site_type_symbol
_atom_site_fract_x
_atom_site_fract_y
_atom_site_fract_z
Na1 Na 0.0003 0.0003 0.1706
Na2 Na 0.9997 0.9997 0.8294
Na3 Na 0.3330 0.3330 0.6769
Na4 Na 0.6670 0.6670 0.3231
In1 In 0.0000 0.0000 0.5000
In2 In 0.3335 0.3335 0.0359
In3 In 0.6665 0.6665 0.9641
Hg1 Hg 0.3337 0.3337 0.3572
Hg2 Hg 0.6663 0.6663 0.6428



# 3
# ZrOs2Cl | Alexandria via LeMat-Bulk | GGA-PBE | relaxed
# Formation energy without anion corrections ... 2.15 eV/f.u.
# Energy above the lowest structure with this stoichiometry ... 2.262 eV/f.u.
# DFT total energy ... -7.68 eV/atom
# Mass density ... 12.74 g cm⁻³
# Fermi-level density of states ... 4.31 states/eV/f.u.
data_ZrOs2Cl
_chemical_formula_sum 'Zr2 Os4 Cl2'
_cell_length_a 2.9953
_cell_length_b 4.7457
_cell_length_c 9.2990
_cell_angle_alpha 90.00
_cell_angle_beta 90.00
_cell_angle_gamma 90.00
_symmetry_space_group_name_H-M 'P 1'
_symmetry_Int_Tables_number 1
_symmetry_space_group_name_Hall 'P 1'
loop_
_atom_site_label
_atom_site_type_symbol
_atom_site_fract_x
_atom_site_fract_y
_atom_site_fract_z
Zr1 Zr 0.0000 0.0000 0.0000
Zr2 Zr 0.5000 0.5000 0.5000
Os1 Os 0.0000 0.0000 0.4692
Os2 Os 0.0000 0.5000 0.2004
Os3 Os 0.5000 0.0000 0.7004
Os4 Os 0.5000 0.5000 0.9692
Cl1 Cl 0.0000 0.5000 0.7338
Cl2 Cl 0.5000 0.0000 0.2338



# 4
# YMgScCd | Alexandria via LeMat-Bulk | GGA-PBE | relaxed
# DFT total energy ... -4.02 eV/atom
# Mass density ... 4.56 g cm⁻³
# Fermi-level density of states ... 4.10 states/eV/f.u.
# Energy relative to the elements ... -0.194 eV per atom
data_YMgScCd
_chemical_formula_sum 'Y4 Mg4 Sc4 Cd4'
_cell_length_a 7.3331
_cell_length_b 7.3331
_cell_length_c 7.3331
_cell_angle_alpha 90.00
_cell_angle_beta 90.00
_cell_angle_gamma 90.00
_symmetry_space_group_name_H-M 'P 1'
_symmetry_Int_Tables_number 1
_symmetry_space_group_name_Hall 'P 1'
loop_
_atom_site_label
_atom_site_type_symbol
_atom_site_fract_x
_atom_site_fract_y
_atom_site_fract_z
Y1 Y 0.0000 0.0000 0.0000
Y2 Y 0.0000 0.5000 0.5000
Y3 Y 0.5000 0.0000 0.5000
Y4 Y 0.5000 0.5000 0.0000
Mg1 Mg 0.2500 0.2500 0.7500
Mg2 Mg 0.2500 0.7500 0.2500
Mg3 Mg 0.7500 0.2500 0.2500
Mg4 Mg 0.7500 0.7500 0.7500
Sc1 Sc 0.0000 0.0000 0.5000
Sc2 Sc 0.0000 0.5000 0.0000
Sc3 Sc 0.5000 0.0000 0.0000
Sc4 Sc 0.5000 0.5000 0.5000
Cd1 Cd 0.2500 0.2500 0.2500
Cd2 Cd 0.2500 0.7500 0.7500
Cd3 Cd 0.7500 0.2500 0.7500
Cd4 Cd 0.7500 0.7500 0.2500